(1)
DFT (PBE) results for crystalline Pm2CoNi4P3 at its relaxed geometry.

The calculation puts the formation energy at -8.25 eV per formula unit. As for the crystal system: tetragonal. The value obtained for the volume is 14.80 Å³ per atom. Its total energy is -64.2 eV for the cell shown. The theoretical density is 7.59 Mg/m³.

It has space group P-4m2 (No. 115), with a = 3.9777 Å, b = 3.9777 Å, c = 9.3522 Å, α = 90.00°, β = 90.00° and γ = 90.00°. Symmetry generates all atoms from Pm at (0.0000, 0.5000, 0.2478), Co at (0.0000, 0.0000, 0.5000), Ni at (0.0000, 0.0000, 0.0000), Ni at (0.0000, 0.5000, 0.6237), Ni at (0.5000, 0.5000, 0.0000), P at (0.0000, 0.5000, 0.8698) and P at (0.5000, 0.5000, 0.5000).


(2)
DFT (PBE) results for crystalline Pm2Co3NiP4 at its relaxed geometry.

The calculation puts the formation energy at -9.88 eV per formula unit. As for the crystal system: tetragonal. The value obtained for the volume is 14.59 Å³ per atom. Its total energy is -68.1 eV for the cell shown. The theoretical density is 7.39 Mg/m³.

It has space group P-4m2 (No. 115), with a = 3.9857 Å, b = 3.9857 Å, c = 9.1815 Å, α = 90.00°, β = 90.00° and γ = 90.00°. Symmetry generates all atoms from Pm at (0.0000, 0.5000, 0.2446), Co at (0.0000, 0.5000, 0.8892), Co at (0.5000, 0.5000, 0.5000), Ni at (0.0000, 0.0000, 0.5000), P at (0.0000, 0.0000, 0.0000), P at (0.0000, 0.5000, 0.6366) and P at (0.5000, 0.5000, 0.0000).


(3)
DFT (PBE) results for crystalline PmCoNiP2 at its relaxed geometry.

The calculation puts the formation energy at -4.85 eV per formula unit. As for the crystal system: tetragonal. The value obtained for the volume is 14.64 Å³ per atom. Its total energy is -66.6 eV for the cell shown. The theoretical density is 7.36 Mg/m³.

It has space group I-4m2 (No. 119), with a = 3.9079 Å, b = 3.9079 Å, c = 9.5841 Å, α = 90.00°, β = 90.00° and γ = 90.00°. Symmetry generates all atoms from Pm at (0.0000, 0.0000, 0.0000), Co at (0.0000, 0.5000, 0.2500), Ni at (0.0000, 0.5000, 0.7500) and P at (0.0000, 0.0000, 0.3710).


(4)
DFT (PBE) results for crystalline Pr2CoNi12P3 at its relaxed geometry.

The calculation puts the formation energy at 0.12 eV per formula unit. As for the crystal system: trigonal. The value obtained for the volume is 15.83 Å³ per atom. Its total energy is -306.4 eV for the cell shown. The theoretical density is 6.63 Mg/m³.

It has space group R-3m (No. 166, hexagonal axes), with a = 7.6713 Å, b = 7.6713 Å, c = 16.7750 Å, α = 90.00°, β = 90.00° and γ = 120.00°. Symmetry generates all atoms from Pr at (0.0000, 0.0000, 0.1158), Co at (0.0000, 0.0000, 0.5000), Ni at (0.0114, 0.5057, 0.1247), Ni at (0.0403, 0.5202, 0.3594) and P at (0.0000, 0.5000, 0.0000).


(5)
DFT (PBE) results for crystalline PrCoNiP2 at its relaxed geometry.

The calculation puts the formation energy at -4.69 eV per formula unit. As for the crystal system: tetragonal. The value obtained for the volume is 15.12 Å³ per atom. Its total energy is -66.4 eV for the cell shown. The theoretical density is 7.04 Mg/m³.

It has space group I-4m2 (No. 119), with a = 3.9353 Å, b = 3.9353 Å, c = 9.7610 Å, α = 90.00°, β = 90.00° and γ = 90.00°. Symmetry generates all atoms from Pr at (0.0000, 0.0000, 0.0000), Co at (0.0000, 0.5000, 0.2500), Ni at (0.0000, 0.5000, 0.7500) and P at (0.0000, 0.0000, 0.3671).


(6)
DFT (PBE) results for crystalline RbCoNiP2 at its relaxed geometry.

The calculation puts the formation energy at 4.04 eV per formula unit. As for the crystal system: tetragonal. The value obtained for the volume is 21.00 Å³ per atom. Its total energy is -20.6 eV for the cell shown. The theoretical density is 4.19 Mg/m³.

It has space group P4/mmm (No. 123), with a = 4.2862 Å, b = 4.2862 Å, c = 5.7153 Å, α = 90.00°, β = 90.00° and γ = 90.00°. Symmetry generates all atoms from Rb at (0.0000, 0.0000, 0.0000), Co at (0.0000, 0.0000, 0.5000), Ni at (0.5000, 0.5000, 0.0000) and P at (0.0000, 0.5000, 0.5000).


(7)
DFT (PBE) results for crystalline CoNi2PRu at its relaxed geometry.

The calculation puts the formation energy at 6.11 eV per formula unit. As for the crystal system: tetragonal. The value obtained for the volume is 17.84 Å³ per atom. Its total energy is -27.2 eV for the cell shown. The theoretical density is 5.74 Mg/m³.

It has space group P4/mmm (No. 123), with a = 4.5412 Å, b = 4.5412 Å, c = 4.3252 Å, α = 90.00°, β = 90.00° and γ = 90.00°. Symmetry generates all atoms from Co at (0.0000, 0.0000, 0.0000), Ni at (0.0000, 0.5000, 0.5000), P at (0.5000, 0.5000, 0.0000) and Ru at (0.5000, 0.5000, 0.5000).


(8)
DFT (PBE) results for crystalline CoNi2PS at its relaxed geometry.

The energy relative to the elements, uncorrected is 0.845 eV/atom. As for the crystal system: tetragonal. The value obtained for the volume is 15.54 Å³ per atom. Its total energy is -24.0 eV for the cell shown. The theoretical density is 5.11 Mg/m³.

It has space group P4/mmm (No. 123), with a = 4.4719 Å, b = 4.4719 Å, c = 3.8866 Å, α = 90.00°, β = 90.00° and γ = 90.00°. Symmetry generates all atoms from Co at (0.0000, 0.0000, 0.0000), Ni at (0.0000, 0.5000, 0.0000), P at (0.5000, 0.5000, 0.5000) and S at (0.0000, 0.0000, 0.5000).


(9)
DFT (PBE) results for crystalline CoNiP2S at its relaxed geometry.

The energy relative to the elements, uncorrected is 0.702 eV/atom. As for the crystal system: tetragonal. The value obtained for the volume is 16.53 Å³ per atom. Its total energy is -24.3 eV for the cell shown. The theoretical density is 4.25 Mg/m³.

It has space group P4/mmm (No. 123), with a = 4.1490 Å, b = 4.1490 Å, c = 4.8017 Å, α = 90.00°, β = 90.00° and γ = 90.00°. Symmetry generates all atoms from Co at (0.0000, 0.0000, 0.0000), Ni at (0.5000, 0.5000, 0.5000), P at (0.0000, 0.5000, 0.0000) and S at (0.0000, 0.0000, 0.5000).


(10)
DFT (PBE) results for crystalline CoNiP2S at its relaxed geometry.

The energy relative to the elements, uncorrected is 0.850 eV/atom. As for the crystal system: tetragonal. The value obtained for the volume is 16.97 Å³ per atom. Its total energy is -23.6 eV for the cell shown. The theoretical density is 4.14 Mg/m³.

It has space group P4/mmm (No. 123), with a = 4.2411 Å, b = 4.2411 Å, c = 4.7184 Å, α = 90.00°, β = 90.00° and γ = 90.00°. Symmetry generates all atoms from Co at (0.0000, 0.0000, 0.0000), Ni at (0.5000, 0.5000, 0.5000), P at (0.0000, 0.5000, 0.5000) and S at (0.5000, 0.5000, 0.0000).


(11)
DFT (PBE) results for crystalline ScCoNiP2 at its relaxed geometry.

The calculation puts the formation energy at -4.70 eV per formula unit. As for the crystal system: tetragonal. The value obtained for the volume is 12.99 Å³ per atom. Its total energy is -69.5 eV for the cell shown. The theoretical density is 5.74 Mg/m³.

It has space group I-4m2 (No. 119), with a = 3.7413 Å, b = 3.7413 Å, c = 9.2818 Å, α = 90.00°, β = 90.00° and γ = 90.00°. Symmetry generates all atoms from Sc at (0.0000, 0.0000, 0.0000), Co at (0.0000, 0.5000, 0.2500), Ni at (0.0000, 0.5000, 0.7500) and P at (0.0000, 0.0000, 0.3804).


(12)
DFT (PBE) results for crystalline SrCoNiP2 at its relaxed geometry.

The calculation puts the formation energy at -3.98 eV per formula unit. As for the crystal system: tetragonal. The value obtained for the volume is 16.83 Å³ per atom. Its total energy is -58.7 eV for the cell shown. The theoretical density is 5.27 Mg/m³.

It has space group I-4m2 (No. 119), with a = 3.8470 Å, b = 3.8470 Å, c = 11.3739 Å, α = 90.00°, β = 90.00° and γ = 90.00°. Symmetry generates all atoms from Sr at (0.0000, 0.0000, 0.0000), Co at (0.0000, 0.5000, 0.2500), Ni at (0.0000, 0.5000, 0.7500) and P at (0.0000, 0.0000, 0.3497).


(13)
DFT (PBE) results for crystalline Tb2CoNi3P4 at its relaxed geometry.

The calculation puts the formation energy at -9.82 eV per formula unit. As for the crystal system: tetragonal. The value obtained for the volume is 14.37 Å³ per atom. Its total energy is -65.2 eV for the cell shown. The theoretical density is 7.82 Mg/m³.

It has space group P-4m2 (No. 115), with a = 3.9660 Å, b = 3.9660 Å, c = 9.1388 Å, α = 90.00°, β = 90.00° and γ = 90.00°. Symmetry generates all atoms from Tb at (0.0000, 0.5000, 0.2472), Co at (0.0000, 0.0000, 0.5000), Ni at (0.0000, 0.5000, 0.8810), Ni at (0.5000, 0.5000, 0.5000), P at (0.0000, 0.0000, 0.0000), P at (0.0000, 0.5000, 0.6311) and P at (0.5000, 0.5000, 0.0000).